# 1
Computed, not measured: a relaxed LiHoGaHg crystal at the PBE level of DFT.

POSCAR file:
```
LiHoGaHg
1.0
0.0000 3.4729 3.4729
3.4729 0.0000 3.4729
3.4729 3.4729 0.0000
Li Ho Ga Hg
1 1 1 1
Cartesian
0.0000 0.0000 0.0000
3.4729 3.4729 3.4729
5.2094 5.2094 5.2094
1.7365 1.7365 1.7365
```

Properties
Formation energy (meV per atom): -446
Crystal system: cubic



# 2
Computed, not measured: a relaxed CaLa2OsPb crystal at the PBE level of DFT.

POSCAR file:
```
CaLa2OsPb
1.0
5.4748 0.0000 0.0000
0.0000 5.4748 0.0000
0.0000 0.0000 5.5802
Ca La Os Pb
1 2 1 1
Cartesian
0.0000 0.0000 0.0000
0.0000 2.7374 2.7901
2.7374 0.0000 2.7901
0.0000 0.0000 2.7901
2.7374 2.7374 0.0000
```

Properties
Formation energy (meV per atom): -206
Crystal system: tetragonal



# 3
Computed, not measured: a relaxed Ca2MgTa crystal at the PBE level of DFT.

POSCAR file:
```
Ca2MgTa
1.0
3.1575 0.0000 0.0000
0.0000 5.0917 0.0000
0.0000 0.0000 6.5616
Ca Mg Ta
2 1 1
Cartesian
0.0000 0.0000 1.5735
0.0000 0.0000 4.9881
1.5787 2.5459 3.2808
1.5787 2.5459 0.0000
```

Properties
Formation energy (meV per atom): 579
Crystal system: orthorhombic



# 4
Computed, not measured: a relaxed AgTe2CBr crystal at the PBE level of DFT.

POSCAR file:
```
AgTe2CBr
1.0
5.7749 0.0000 0.0000
0.0000 5.7749 0.0000
0.0000 0.0000 3.8767
Ag Te C Br
1 2 1 1
Cartesian
0.0000 0.0000 0.0000
0.0000 2.8874 0.0000
2.8874 0.0000 0.0000
0.0000 0.0000 1.9384
2.8874 2.8874 1.9384
```

Properties
Formation energy from raw total energies (eV per atom): 1.33
Crystal system: tetragonal